Material: La8TbEr2
Method: DFT, PBE
State: optimized geometry

Output
- SG = No. 12
- energy relative to the elements (eV/atom) = 0.022

a b c (Å): 9.693 9.693 8.233
angles (deg): 104.83 104.83 31.28
Fractional coordinates of all 11 atoms:
1 La 0.047 0.047 0.227
2 La 0.138 0.138 0.686
3 La 0.318 0.318 0.588
4 La 0.408 0.408 0.046
5 La 0.592 0.592 0.954
6 La 0.682 0.682 0.412
7 La 0.862 0.862 0.314
8 La 0.953 0.953 0.773
9 Tb 0.500 0.500 0.500
10 Er 0.227 0.227 0.134
11 Er 0.773 0.773 0.866



Material: LiTcBr2
Method: DFT, PBE
State: optimized geometry

Output
- SG = No. 166
- uncorrected formation energy (eV per formula unit) = -0.07

a b c (Å): 5.979 5.979 5.979
angles (deg): 39.58 39.58 39.58
Fractional coordinates of all 4 atoms:
1 Li 0.000 0.000 0.000
2 Tc 0.500 0.500 0.500
3 Br 0.239 0.239 0.239
4 Br 0.761 0.761 0.761



Material: K2BaTe
Method: DFT, PBE
State: optimized geometry

Output
- SG = No. 122
- uncorrected formation energy (eV per formula unit) = -2.40

a b c (Å): 9.084 9.084 9.084
angles (deg): 98.05 98.05 136.04
Fractional coordinates of all 8 atoms:
1 K 0.015 0.625 0.890
2 K 0.375 0.265 0.390
3 K 0.735 0.125 0.110
4 K 0.875 0.985 0.610
5 Ba 0.250 0.750 0.500
6 Ba 0.500 0.500 0.000
7 Te 0.000 0.000 0.000
8 Te 0.750 0.250 0.500



Material: Ho12TcSb6
Method: DFT, PBE
State: optimized geometry

Output
- SG = No. 148
- uncorrected formation energy (eV per formula unit) = -10.91

a b c (Å): 8.489 8.489 8.489
angles (deg): 99.51 99.51 99.51
Fractional coordinates of all 19 atoms:
1 Ho 0.007 0.943 0.685
2 Ho 0.057 0.315 0.993
3 Ho 0.198 0.547 0.416
4 Ho 0.315 0.993 0.057
5 Ho 0.416 0.198 0.547
6 Ho 0.453 0.584 0.802
7 Ho 0.547 0.416 0.198
8 Ho 0.584 0.802 0.453
9 Ho 0.685 0.007 0.943
10 Ho 0.802 0.453 0.584
11 Ho 0.943 0.685 0.007
12 Ho 0.993 0.057 0.315
13 Tc 0.000 0.000 0.000
14 Sb 0.120 0.317 0.648
15 Sb 0.317 0.648 0.120
16 Sb 0.352 0.880 0.683
17 Sb 0.648 0.120 0.317
18 Sb 0.683 0.352 0.880
19 Sb 0.880 0.683 0.352



Material: Tb4PrAg
Method: DFT, PBE
State: optimized geometry

Output
- SG = No. 123
- energy relative to the elements (eV/atom) = -0.076

a b c (Å): 3.608 3.608 13.962
angles (deg): 90.00 90.00 90.00
Fractional coordinates of all 6 atoms:
1 Tb 0.000 0.000 0.135
2 Tb 0.000 0.000 0.865
3 Tb 0.500 0.500 0.316
4 Tb 0.500 0.500 0.684
5 Pr 0.000 0.000 0.500
6 Ag 0.500 0.500 0.000



Material: Hf2TlRe2
Method: DFT, PBE
State: optimized geometry

Output
- SG = No. 127
- energy relative to the elements (eV/atom) = 0.285

a b c (Å): 7.606 7.606 3.391
angles (deg): 90.00 90.00 90.00
Fractional coordinates of all 10 atoms:
1 Hf 0.156 0.344 0.000
2 Hf 0.344 0.844 0.000
3 Hf 0.656 0.156 0.000
4 Hf 0.844 0.656 0.000
5 Tl 0.000 0.000 0.500
6 Tl 0.500 0.500 0.500
7 Re 0.138 0.638 0.500
8 Re 0.362 0.138 0.500
9 Re 0.638 0.862 0.500
10 Re 0.862 0.362 0.500



Material: CaHoIn2Se4
Method: DFT, PBE
State: optimized geometry

Output
- SG = No. 10
- uncorrected formation energy (eV per formula unit) = -9.55

a b c (Å): 7.356 4.171 7.614
angles (deg): 90.00 108.22 90.00
Fractional coordinates of all 8 atoms:
1 Ca 0.000 0.000 0.000
2 Ho 0.500 0.500 0.000
3 In 0.000 0.500 0.500
4 In 0.500 0.000 0.500
5 Se 0.259 0.500 0.230
6 Se 0.274 0.000 0.778
7 Se 0.726 0.000 0.222
8 Se 0.741 0.500 0.770



Material: Pm2P3Rh12Pb
Method: DFT, PBE
State: optimized geometry

Output
- SG = No. 166
- energy relative to the elements (eV/atom) = -0.183

a b c (Å): 7.325 7.325 7.325
angles (deg): 68.81 68.81 68.81
Fractional coordinates of all 18 atoms:
1 Pm 0.098 0.098 0.098
2 Pm 0.902 0.902 0.902
3 P 0.000 0.500 0.500
4 P 0.500 0.000 0.500
5 P 0.500 0.500 0.000
6 Rh 0.108 0.647 0.647
7 Rh 0.166 0.166 0.593
8 Rh 0.166 0.593 0.166
9 Rh 0.353 0.353 0.892
10 Rh 0.353 0.892 0.353
11 Rh 0.407 0.834 0.834
12 Rh 0.593 0.166 0.166
13 Rh 0.647 0.108 0.647
14 Rh 0.647 0.647 0.108
15 Rh 0.834 0.407 0.834
16 Rh 0.834 0.834 0.407
17 Rh 0.892 0.353 0.353
18 Pb 0.500 0.500 0.500



The evaluated raw total energy for the records listed, in turn: -4.812; -3.924; -2.414; -5.313; -4.434; -9.148; -4.443; -6.720 eV per atom.